# 1
PBE-GGA BaTa2Re, relaxed; ΔE to the lowest computed polymorph = 2.78 eV/f.u.; DOS(E_F) = 2.79 states/eV per cell; calculated formation energy = 1.20 eV/atom; V = 82.3 Å³/f.u.; space group = No. 216
1.0
-3.275 -3.607 -0.327
1.050 -4.420 1.789
-2.266 -1.611 4.014
Ta Re Ba
2 1 1
Direct
0.250 0.250 0.250 Ta
0.000 0.000 0.000 Ta
0.750 0.750 0.750 Re
0.500 0.500 0.500 Ba



# 2
PBE-GGA V2Ir3Rh2, relaxed; DOS(E_F) = 6.37 states/eV per cell; calculated formation energy = -0.32 eV/atom; V = 98.5 Å³/f.u.; space group = No. 12
1.0
2.684 -0.452 0.063
-0.580 4.636 -0.576
0.100 1.682 7.884
V Ir Rh
2 3 2
Direct
0.570 0.138 0.710 V
0.430 0.862 0.290 V
0.141 0.281 0.429 Ir
0.000 0.000 0.000 Ir
0.859 0.719 0.571 Ir
0.282 0.566 0.858 Rh
0.718 0.434 0.142 Rh



# 3
PBE-GGA Mo2WSe4S2, relaxed; formation energy from raw total energies = -696 meV per atom; ΔE to the lowest computed polymorph = 0.20 eV/f.u.; V = 236.5 Å³/f.u.; space group = No. 156
1.0
1.639 -2.839 0.000
1.639 2.839 0.000
0.000 0.000 25.412
Se S Mo W
4 2 2 1
Direct
0.667 0.333 0.412 Se
0.667 0.333 0.278 Se
0.000 0.000 0.568 Se
0.000 0.000 0.701 Se
0.000 0.000 0.121 S
0.000 0.000 0.000 S
0.667 0.333 0.635 Mo
0.667 0.333 0.061 Mo
0.000 0.000 0.345 W



# 4
PBE-GGA ZrTlCr2Fe, relaxed; ΔE to the lowest computed polymorph = 0.00 eV/f.u.; DOS(E_F) = 6.15 states/eV per cell; calculated formation energy = 0.89 eV/atom; V = 95.1 Å³/f.u.; space group = No. 123
1.0
-1.553 -0.546 4.100
-0.981 -4.670 -0.994
4.039 -1.142 1.378
Cr Tl Fe Zr
2 1 1 1
Direct
0.500 0.000 0.000 Cr
0.000 0.000 0.500 Cr
0.000 0.500 0.000 Tl
0.000 0.000 0.000 Fe
0.500 0.500 0.500 Zr



# 5
PBE-GGA MoOs3Au, relaxed; ΔE to the lowest computed polymorph = 4.72 eV/f.u.; DOS(E_F) = 10.81 states/eV per cell; calculated formation energy = 3.22 eV/atom; V = 105.3 Å³/f.u.; space group = No. 221
1.0
-3.595 -0.558 -3.011
3.013 -1.481 -3.322
-0.552 -4.450 1.483
Os Au Mo
3 1 1
Direct
0.000 0.000 0.500 Os
0.000 0.500 0.000 Os
0.500 0.000 0.000 Os
0.000 0.000 0.000 Au
0.500 0.500 0.500 Mo



# 6
PBE-GGA KBa, relaxed; DOS(E_F) = 5.97 states/eV per cell; calculated formation energy = 0.14 eV/atom; V = 137.3 Å³/f.u.; space group = No. 141
1.0
-6.831 4.284 -1.004
-6.687 -4.431 1.293
6.840 1.223 4.213
K Ba
2 2
Direct
0.500 0.500 0.000 K
0.750 0.250 0.500 K
0.250 0.750 0.500 Ba
0.000 0.000 0.000 Ba



# 7
PBE-GGA Tb3Pm4Pr, relaxed; ΔE to the lowest computed polymorph = 0.00 eV/f.u.; DOS(E_F) = 22.94 states/eV per cell; calculated formation energy = 0.01 eV/atom; V = 269.1 Å³/f.u.; space group = No. 53
1.0
7.253 0.000 0.000
0.000 7.246 0.000
0.000 0.000 10.240
Tb Pr Pm
6 2 8
Direct
0.000 0.810 0.500 Tb
0.752 0.561 0.250 Tb
0.248 0.061 0.250 Tb
0.752 0.561 0.750 Tb
0.248 0.061 0.750 Tb
0.000 0.310 0.000 Tb
0.500 0.811 0.000 Pr
0.500 0.311 0.500 Pr
0.248 0.561 0.250 Pm
0.752 0.061 0.250 Pm
0.752 0.061 0.750 Pm
0.500 0.311 0.000 Pm
0.000 0.311 0.500 Pm
0.248 0.561 0.750 Pm
0.000 0.811 0.000 Pm
0.500 0.811 0.500 Pm



# 8
PBE-GGA MgAs, relaxed; ΔE to the lowest computed polymorph = 0.97 eV/f.u.; DOS(E_F) = 1.80 states/eV per cell; calculated formation energy = 0.07 eV/atom; V = 42.7 Å³/f.u.; space group = No. 164
1.0
-3.082 0.232 -0.106
1.339 -1.888 2.050
0.344 7.699 6.866
Mg As
2 2
Direct
0.000 0.000 0.499 Mg
0.667 0.333 0.751 Mg
0.667 0.333 0.289 As
0.000 0.000 0.961 As



# 9
PBE-GGA K2Cd2In, relaxed; ΔE to the lowest computed polymorph = 0.69 eV/f.u.; DOS(E_F) = 4.71 states/eV per cell; calculated formation energy = 0.04 eV/atom; V = 191.4 Å³/f.u.; space group = No. 139
1.0
4.128 0.000 0.000
0.000 4.128 0.000
2.064 2.064 11.229
K In Cd
2 1 2
Direct
0.607 0.607 0.787 K
0.393 0.393 0.213 K
0.000 0.000 0.000 In
0.250 0.750 0.500 Cd
0.750 0.250 0.500 Cd



# 10
PBE-GGA Li3SnRh2, relaxed; DOS(E_F) = 3.65 states/eV per cell; calculated formation energy = -0.38 eV/atom; V = 87.8 Å³/f.u.; space group = No. 15
1.0
4.691 -0.276 -0.820
-1.402 4.485 -0.820
0.201 0.257 8.402
Sn Li Rh
2 6 4
Direct
0.867 0.133 0.750 Sn
0.133 0.867 0.250 Sn
0.390 0.610 0.750 Li
0.610 0.390 0.250 Li
0.790 0.552 0.572 Li
0.448 0.210 0.928 Li
0.210 0.448 0.428 Li
0.552 0.790 0.072 Li
0.291 0.020 0.594 Rh
0.020 0.291 0.094 Rh
0.709 0.980 0.406 Rh
0.980 0.709 0.906 Rh



# 11
PBE-GGA SrScBr2, relaxed; formation energy from raw total energies = -970 meV per atom; ΔE to the lowest computed polymorph = 0.59 eV/f.u.; DOS(E_F) = 3.16 states/eV per cell; V = 115.7 Å³/f.u.; space group = No. 10
1.0
4.503 0.000 0.000
0.000 3.779 0.046
0.000 -0.080 6.799
Br Sc Sr
2 1 1
Direct
0.000 0.247 0.504 Br
0.000 0.253 0.996 Br
0.500 0.250 0.250 Sc
0.500 0.750 0.750 Sr



# 12
PBE-GGA ScTl2Pd8, relaxed; ΔE to the lowest computed polymorph = 0.00 eV/f.u.; DOS(E_F) = 5.61 states/eV per cell; calculated formation energy = -0.39 eV/atom; V = 195.7 Å³/f.u.; space group = No. 71
1.0
3.800 0.000 -1.157
-1.195 6.911 -3.925
0.232 -0.327 7.583
Tl Pd Sc
2 8 1
Direct
0.155 0.655 0.310 Tl
0.845 0.345 0.690 Tl
0.000 0.755 0.000 Pd
0.332 0.081 0.665 Pd
0.838 0.838 0.675 Pd
0.332 0.584 0.665 Pd
0.162 0.162 0.325 Pd
0.668 0.416 0.335 Pd
0.668 0.919 0.335 Pd
0.000 0.245 0.000 Pd
0.500 0.000 0.000 Sc